# 1
DFT (GGA-PBE) results for a relaxed RbTl6Hg6 crystal.

Computed properties:
Relative energy among the computed polymorphs in eV per formula unit: 0.268

Lattice parameters (Å, degrees): 7.1967 8.4169 8.4169 77.43 64.69 64.69
Closest atoms and distances in Å follow each position.
Element x y z (fractional)
1 Hg 0.6438 0.3562 0.3562  1 Hg 3.16, 6 Tl 3.40-3.42
2 Tl 0.0000 0.0000 0.5000  6 Hg 3.20-3.45, 2 Tl 3.31
3 Tl 0.5000 0.2116 0.7884  4 Hg 3.31-3.42, 4 Tl 3.31
4 Hg 0.0000 0.6483 0.3517  3 Hg 3.12-3.43, 4 Tl 3.45
5 Hg 0.0000 0.3517 0.6483  3 Hg 3.12-3.43, 4 Tl 3.45
6 Hg 0.7225 0.7775 0.7775  6 Tl 3.20-3.31, 2 Hg 3.43
7 Hg 0.3562 0.6438 0.6438  1 Hg 3.16, 6 Tl 3.40-3.42
8 Tl 0.5000 0.0000 0.5000  6 Hg 3.20-3.45, 2 Tl 3.31
9 Tl 0.0000 0.5000 0.0000  6 Hg 3.20-3.45, 2 Tl 3.31
10 Rb 0.0000 0.0000 0.0000  4 Hg 3.70-3.91
11 Tl 0.5000 0.5000 0.0000  6 Hg 3.20-3.45, 2 Tl 3.31
12 Hg 0.2775 0.2225 0.2225  6 Tl 3.20-3.31, 2 Hg 3.43
13 Tl 0.5000 0.7884 0.2116  4 Hg 3.31-3.42, 4 Tl 3.31

=====

# 2
DFT (GGA-PBE) results for a relaxed Rb6TlHg3 crystal.

Lattice parameters (Å, degrees): 7.7773 10.8515 12.1060 95.21 90.00 90.00
Closest atoms and distances in Å follow each position.
Element x y z (fractional)
1 Hg 0.7946 0.0199 0.2270  1 Tl 3.17
2 Rb 0.3051 0.3292 0.7409  3 Hg 3.75-3.92, 1 Tl 3.90
3 Rb 0.8051 0.1708 0.7591  3 Hg 3.75-3.92, 1 Tl 3.90
4 Rb 0.4327 0.1562 0.4128  3 Hg 3.82-4.18, 1 Tl 3.82, 2 Rb 4.21-4.24
5 Rb 0.5735 0.8220 0.9326  3 Hg 3.70-4.06, 1 Tl 3.89
6 Rb 0.9265 0.3220 0.4326  3 Hg 3.70-4.06, 1 Tl 3.89
7 Rb 0.4265 0.1780 0.0674  3 Hg 3.70-4.06, 1 Tl 3.89
8 Hg 0.2946 0.4801 0.2730  1 Tl 3.17
9 Tl 0.0000 0.0000 0.0000  2 Hg 3.17
10 Hg 0.5000 0.5000 0.0000  2 Hg 3.69, 6 Rb 3.70-3.95
11 Hg 0.2054 0.9801 0.7730  1 Tl 3.17
12 Hg 0.0000 0.0000 0.5000  2 Hg 3.69, 6 Rb 3.70-3.95
13 Rb 0.6949 0.6708 0.2591  3 Hg 3.75-3.92, 1 Tl 3.90
14 Tl 0.5000 0.5000 0.5000  2 Hg 3.17
15 Rb 0.9327 0.3438 0.0872  3 Hg 3.82-4.18, 1 Tl 3.82, 2 Rb 4.21-4.24
16 Hg 0.7054 0.5199 0.7270  1 Tl 3.17
17 Rb 0.5673 0.8438 0.5872  3 Hg 3.82-4.18, 1 Tl 3.82, 2 Rb 4.21-4.24
18 Rb 0.1949 0.8292 0.2409  3 Hg 3.75-3.92, 1 Tl 3.90
19 Rb 0.0673 0.6562 0.9128  3 Hg 3.82-4.18, 1 Tl 3.82, 2 Rb 4.21-4.24
20 Rb 0.0735 0.6780 0.5674  3 Hg 3.70-4.06, 1 Tl 3.89

=====

# 3
DFT (GGA-PBE) results for a relaxed RbTl10Hg3 crystal.

Lattice parameters (Å, degrees): 11.0876 11.0876 11.0876 60.00 60.00 60.00
Closest atoms and distances in Å follow each position.
Element x y z (fractional)
1 Tl 0.8522 0.3826 0.3826  3 Hg 3.18
2 Tl 0.3826 0.3826 0.8521  3 Hg 3.18
3 Hg 0.7335 0.2665 0.7335  8 Tl 3.10-3.18
4 Tl 0.3826 0.8521 0.3826  3 Hg 3.18
5 Tl 0.3509 0.0000 0.0000  2 Hg 3.10, 1 Tl 3.31
6 Tl 0.0000 0.6491 0.3509  2 Hg 3.10, 1 Tl 3.31
7 Tl 0.6174 0.6174 0.1479  3 Hg 3.18
8 Rb 0.7500 0.7500 0.7500  4 Tl 3.60
9 Tl 0.0000 0.0000 0.3509  2 Hg 3.10, 1 Tl 3.31
10 Hg 0.2665 0.2665 0.7335  8 Tl 3.10-3.18
11 Tl 0.0000 0.0000 0.6491  2 Hg 3.10, 1 Tl 3.31
12 Hg 0.7335 0.2665 0.2665  8 Tl 3.10-3.18
13 Tl 0.6491 0.0000 0.3509  2 Hg 3.10, 1 Tl 3.31
14 Tl 0.0000 0.6491 0.0000  2 Hg 3.10, 1 Tl 3.31
15 Tl 0.3509 0.0000 0.6491  2 Hg 3.10, 1 Tl 3.31
16 Tl 0.6174 0.1479 0.6174  3 Hg 3.18
17 Hg 0.2665 0.7335 0.7335  8 Tl 3.10-3.18
18 Tl 0.1478 0.6174 0.6174  3 Hg 3.18
19 Tl 0.0000 0.3509 0.0000  2 Hg 3.10, 1 Tl 3.31
20 Tl 0.6174 0.6174 0.6174  3 Hg 3.18
21 Tl 0.3826 0.3826 0.3826  3 Hg 3.18
22 Hg 0.7335 0.7335 0.2665  8 Tl 3.10-3.18
23 Rb 0.2500 0.2500 0.2500  4 Tl 3.60
24 Tl 0.6491 0.0000 0.0000  2 Hg 3.10, 1 Tl 3.31
25 Tl 0.6491 0.3509 0.0000  2 Hg 3.10, 1 Tl 3.31
26 Hg 0.2665 0.7335 0.2665  8 Tl 3.10-3.18
27 Tl 0.3509 0.6491 0.0000  2 Hg 3.10, 1 Tl 3.31
28 Tl 0.0000 0.3509 0.6491  2 Hg 3.10, 1 Tl 3.31

=====

# 4
DFT (GGA-PBE) results for a relaxed RbTlHg17 crystal.

Lattice parameters (Å, degrees): 8.4830 8.4830 8.4830 75.66 75.66 75.66
Closest atoms and distances in Å follow each position.
Element x y z (fractional)
1 Hg 0.3031 0.0044 0.6930  6 Hg 3.11-3.35
2 Hg 0.3443 0.3443 0.9079  5 Hg 3.05-3.18
3 Hg 0.5992 0.2222 0.5992  6 Hg 3.17-3.31, 1 Tl 3.39
4 Hg 0.3443 0.9079 0.3443  5 Hg 3.05-3.18
5 Hg 0.5992 0.5992 0.2222  6 Hg 3.17-3.31, 1 Tl 3.39
6 Hg 0.1121 0.1121 0.1121  4 Hg 3.05-3.09
7 Tl 0.3328 0.3328 0.3328  12 Hg 3.39-3.59
8 Hg 0.5675 0.9430 0.9430  7 Hg 3.15-3.44
9 Hg 0.0044 0.3031 0.6930  6 Hg 3.11-3.35
10 Hg 0.9403 0.9403 0.9403  10 Hg 3.09-3.35
11 Hg 0.9430 0.9430 0.5675  7 Hg 3.15-3.44
12 Hg 0.3031 0.6930 0.0044  6 Hg 3.11-3.35
13 Hg 0.9079 0.3443 0.3443  5 Hg 3.05-3.18
14 Hg 0.6930 0.3031 0.0044  6 Hg 3.11-3.35
15 Hg 0.6930 0.0044 0.3031  6 Hg 3.11-3.35
16 Hg 0.2222 0.5992 0.5992  6 Hg 3.17-3.31, 1 Tl 3.39
17 Rb 0.6430 0.6430 0.6430  15 Hg 3.68-3.93
18 Hg 0.9430 0.5675 0.9430  7 Hg 3.15-3.44
19 Hg 0.0044 0.6930 0.3031  6 Hg 3.11-3.35

=====

# 5
DFT (GGA-PBE) results for a relaxed Rb3Tl2Hg9 crystal.

Lattice parameters (Å, degrees): 5.5280 9.9876 9.9876 63.61 73.93 73.93
Closest atoms and distances in Å follow each position.
Element x y z (fractional)
1 Hg 0.3379 0.3097 0.0144  4 Hg 3.11-3.19, 1 Tl 3.21
2 Hg 0.8574 0.4373 0.8478  4 Hg 3.15-3.19
3 Hg 0.0000 0.5000 0.5000  4 Hg 3.15, 4 Tl 3.31
4 Hg 0.8574 0.8478 0.4373  4 Hg 3.15-3.19
5 Hg 0.3379 0.0144 0.3097  4 Hg 3.11-3.19, 1 Tl 3.21
6 Hg 0.1426 0.5627 0.1522  4 Hg 3.15-3.19
7 Tl 0.5000 0.6734 0.3266  4 Hg 3.21-3.31
8 Rb 0.0000 0.0000 0.0000  12 Hg 3.86-4.10
9 Rb 0.2849 0.7151 0.7151  12 Hg 3.70-3.85, 2 Tl 3.91
10 Rb 0.7151 0.2849 0.2849  12 Hg 3.70-3.85, 2 Tl 3.91
11 Hg 0.6621 0.9856 0.6903  4 Hg 3.11-3.19, 1 Tl 3.21
12 Hg 0.6621 0.6903 0.9856  4 Hg 3.11-3.19, 1 Tl 3.21
13 Hg 0.1426 0.1522 0.5627  4 Hg 3.15-3.19
14 Tl 0.5000 0.3266 0.6734  4 Hg 3.21-3.31

=====

# 6
DFT (GGA-PBE) results for a relaxed Rb3Tl5Hg12 crystal.

Lattice parameters (Å, degrees): 16.5283 16.5283 16.5283 109.47 109.47 109.47
Closest atoms and distances in Å follow each position.
Element x y z (fractional)
1 Rb 0.8750 0.7500 0.1250  8 Hg 3.59-3.60
2 Hg 0.7120 0.1278 0.0448  2 Tl 3.06-3.10
3 Hg 0.3722 0.4170 0.0842  2 Tl 3.06-3.10
4 Rb 0.8750 0.1250 0.2500  8 Hg 3.59-3.60
5 Hg 0.6278 0.5830 0.9158  2 Tl 3.06-3.10
6 Hg 0.5448 0.3328 0.9170  2 Tl 3.06-3.10
7 Rb 0.3750 0.6250 0.2500  8 Hg 3.59-3.60
8 Tl 0.5000 0.0000 0.0000  6 Hg 3.10
9 Tl 0.8750 0.2500 0.6250  4 Hg 3.06
10 Hg 0.7880 0.3328 0.9158  2 Tl 3.06-3.10
11 Hg 0.7120 0.5842 0.1672  2 Tl 3.06-3.10
12 Tl 0.7500 0.1250 0.8750  4 Hg 3.06
13 Rb 0.6250 0.2500 0.3750  8 Hg 3.59-3.60
14 Hg 0.8722 0.2880 0.4552  2 Tl 3.06-3.10
15 Hg 0.8328 0.9170 0.0448  2 Tl 3.06-3.10
16 Hg 0.4170 0.3722 0.5842  2 Tl 3.06-3.10
17 Hg 0.8328 0.9158 0.2880  2 Tl 3.06-3.10
18 Tl 0.1250 0.7500 0.3750  4 Hg 3.06
19 Hg 0.1278 0.4158 0.0830  2 Tl 3.06-3.10
20 Rb 0.1250 0.2500 0.8750  8 Hg 3.59-3.60
21 Tl 0.0000 0.0000 0.5000  6 Hg 3.10
22 Hg 0.7880 0.4552 0.3722  2 Tl 3.06-3.10
23 Hg 0.6278 0.0448 0.2120  2 Tl 3.06-3.10
24 Hg 0.1672 0.0830 0.9552  2 Tl 3.06-3.10
25 Hg 0.2880 0.8722 0.9552  2 Tl 3.06-3.10
26 Rb 0.2500 0.1250 0.3750  8 Hg 3.59-3.60
27 Tl 0.0000 0.5000 0.0000  6 Hg 3.10
28 Hg 0.9170 0.8328 0.5448  2 Tl 3.06-3.10
29 Tl 0.3750 0.1250 0.7500  4 Hg 3.06
30 Hg 0.9158 0.0830 0.6278  2 Tl 3.06-3.10
31 Tl 0.6250 0.8750 0.2500  4 Hg 3.06
32 Hg 0.9552 0.5830 0.1672  2 Tl 3.06-3.10
33 Hg 0.0830 0.1672 0.4552  2 Tl 3.06-3.10
34 Hg 0.4552 0.7880 0.8722  2 Tl 3.06-3.10
35 Hg 0.0830 0.9158 0.1278  2 Tl 3.06-3.10
36 Hg 0.1672 0.0842 0.7120  2 Tl 3.06-3.10
37 Tl 0.0000 0.0000 0.0000  6 Hg 3.10
38 Tl 0.5000 0.5000 0.0000  6 Hg 3.10
39 Hg 0.2880 0.4158 0.8328  2 Tl 3.06-3.10
40 Hg 0.2120 0.6672 0.0842  2 Tl 3.06-3.10
41 Hg 0.6672 0.2120 0.5842  2 Tl 3.06-3.10
42 Tl 0.2500 0.3750 0.6250  4 Hg 3.06
43 Hg 0.5448 0.2120 0.1278  2 Tl 3.06-3.10
44 Tl 0.8750 0.6250 0.7500  4 Hg 3.06
45 Hg 0.9158 0.8328 0.7880  2 Tl 3.06-3.10
46 Hg 0.0842 0.9170 0.3722  2 Tl 3.06-3.10
47 Hg 0.0448 0.4170 0.8328  2 Tl 3.06-3.10
48 Hg 0.5842 0.8722 0.4170  2 Tl 3.06-3.10
49 Tl 0.2500 0.8750 0.1250  4 Hg 3.06
50 Hg 0.8722 0.5842 0.9170  2 Tl 3.06-3.10
51 Hg 0.5830 0.6278 0.4158  2 Tl 3.06-3.10
52 Rb 0.7500 0.3750 0.1250  8 Hg 3.59-3.60
53 Rb 0.6250 0.3750 0.7500  8 Hg 3.59-3.60
54 Hg 0.3328 0.7880 0.4158  2 Tl 3.06-3.10
55 Hg 0.4158 0.2880 0.3328  2 Tl 3.06-3.10
56 Hg 0.9552 0.3722 0.2880  2 Tl 3.06-3.10
57 Tl 0.3750 0.2500 0.1250  4 Hg 3.06
58 Hg 0.6672 0.4552 0.5830  2 Tl 3.06-3.10
59 Tl 0.5000 0.0000 0.5000  6 Hg 3.10
60 Hg 0.3722 0.9552 0.7880  2 Tl 3.06-3.10
61 Hg 0.5842 0.7120 0.6672  2 Tl 3.06-3.10
62 Hg 0.3328 0.5448 0.4170  2 Tl 3.06-3.10
63 Rb 0.1250 0.8750 0.7500  8 Hg 3.59-3.60
64 Tl 0.0000 0.5000 0.5000  6 Hg 3.10
65 Rb 0.3750 0.7500 0.6250  8 Hg 3.59-3.60
66 Hg 0.2120 0.5448 0.6278  2 Tl 3.06-3.10
67 Tl 0.6250 0.7500 0.8750  4 Hg 3.06
68 Hg 0.5830 0.9552 0.6672  2 Tl 3.06-3.10
69 Rb 0.2500 0.6250 0.8750  8 Hg 3.59-3.60
70 Tl 0.1250 0.3750 0.2500  4 Hg 3.06
71 Hg 0.9170 0.0842 0.8722  2 Tl 3.06-3.10
72 Hg 0.4552 0.6672 0.0830  2 Tl 3.06-3.10
73 Hg 0.4170 0.0448 0.3328  2 Tl 3.06-3.10
74 Hg 0.1278 0.7120 0.5448  2 Tl 3.06-3.10
75 Hg 0.0448 0.6278 0.7120  2 Tl 3.06-3.10
76 Rb 0.7500 0.8750 0.6250  8 Hg 3.59-3.60
77 Hg 0.4158 0.1278 0.5830  2 Tl 3.06-3.10
78 Hg 0.0842 0.1672 0.2120  2 Tl 3.06-3.10
79 Tl 0.5000 0.5000 0.5000  6 Hg 3.10
80 Tl 0.7500 0.6250 0.3750  4 Hg 3.06

=====

Number 1: formation energy -0.03 eV/atom. Number 2: formation energy -0.10 eV/atom. Number 3: formation energy 0.06 eV/atom. Number 4: formation energy -0.06 eV/atom. Number 5: formation energy -0.19 eV/atom. Number 6: formation energy 0.07 eV/atom.